LaTlAg4 | meta-GGA SCAN | single point on PBEsol structure

Properties
DFT formation energy: -255 meV per atom
Spin magnetization: 0.00 Bohr magnetons per cell
E: -969.851 eV for the cell shown

a b c (Å): 7.8931 7.8931 7.8931
angles (deg): 90.00 90.00 90.00
With the nearest neighbours (Å) after each atom.
Space group F-43m (No. 216)
Symmetry-distinct sites (fractional):
La  0.0000  0.0000  0.0000  12 Ag 3.27, 4 Tl 3.42
Tl  0.2500  0.2500  0.2500  12 Ag 3.27, 4 La 3.42
Ag  0.1247  0.1247  0.6247  6 Ag 2.78-2.80

---

K2SrBe | meta-GGA SCAN | single point on PBEsol structure

Properties
DFT formation energy: 694 meV per atom
Spin magnetization: 0.10 Bohr magnetons per cell
E: -121.535 eV for the cell shown

a b c (Å): 4.2379 4.2379 36.4725
angles (deg): 90.00 90.00 120.00
With the nearest neighbours (Å) after each atom.
Space group R-3m (No. 166, hexagonal axes)
Symmetry-distinct sites (fractional):
K  0.0000  0.0000  0.2288  3 Be 3.34
Sr  0.0000  0.0000  0.0000  6 Sr 4.24, 6 K 4.53
Be  0.0000  0.0000  0.5000  6 K 3.34

---

Ta2MnZnO8 | meta-GGA SCAN | single point on PBEsol structure

Properties
Spin magnetization: 11.89 Bohr magnetons per cell
E: -980.640 eV for the cell shown
Formation energy (no corrections): -2531 meV per atom

a b c (Å): 19.5821 5.5636 4.9104
angles (deg): 90.00 104.22 90.00
With the nearest neighbours (Å) after each atom.
Space group C2 (No. 5)
Symmetry-distinct sites (fractional):
Ta  0.1208  0.0000  0.1521  4 O 1.80-2.00
Ta  0.1244  0.6157  0.6497  5 O 1.84-2.01
Mn  0.0000  0.1583  0.5000  6 O 1.84-1.95
Mn  0.0000  0.4599  0.0000  6 O 1.83-1.95
Zn  0.2433  0.1213  0.7701  5 O 2.01-2.16
O  0.0536  0.2042  0.8754  2 Mn 1.90-1.95, 1 Ta 2.00
O  0.0540  0.4125  0.3787  2 Mn 1.92-1.95, 1 Ta 2.01
O  0.0590  0.9303  0.4079  1 Mn 1.84, 1 Ta 1.98
O  0.0603  0.6778  0.9054  1 Mn 1.83, 1 Ta 2.01
O  0.1681  0.9097  0.8584  2 Ta 1.96-2.01, 1 Zn 2.01
O  0.1690  0.7049  0.3549  2 Ta 1.93-2.03, 1 Zn 2.02
O  0.1871  0.1882  0.3715  1 Ta 1.80
O  0.1940  0.4297  0.8718  1 Ta 1.84

---

Rb2As2Pb | meta-GGA SCAN | single point on PBEsol structure

Properties
DFT formation energy: -366 meV per atom
Spin magnetization: 0.00 Bohr magnetons per cell
E: -318.939 eV for the cell shown

a b c (Å): 7.5863 7.5863 5.5148
angles (deg): 90.00 90.00 90.00
With the nearest neighbours (Å) after each atom.
Space group P4/mbm (No. 127)
Symmetry-distinct sites (fractional):
Rb  0.1804  0.3196  0.0000  6 As 3.54-3.58, 5 Rb 3.87-3.94, 4 Pb 3.92
As  0.1124  0.6124  0.5000  1 As 2.41
Pb  0.0000  0.0000  0.5000  4 As 3.06

---

Sn2PbAu2 | meta-GGA SCAN | single point on PBEsol structure

Properties
DFT formation energy: 0 meV per atom
Spin magnetization: 0.00 Bohr magnetons per cell
E: -571.873 eV for the cell shown

a b c (Å): 7.9977 7.9977 3.5734
angles (deg): 90.00 90.00 90.00
With the nearest neighbours (Å) after each atom.
Space group P4/mbm (No. 127)
Symmetry-distinct sites (fractional):
Sn  0.1666  0.3334  0.0000  6 Au 2.92-2.98
Pb  0.0000  0.0000  0.5000  4 Au 3.14, 8 Sn 3.48
Au  0.1292  0.6292  0.5000  6 Sn 2.92-2.98, 1 Au 2.92, 2 Pb 3.14

---

K2CaMn | meta-GGA SCAN | single point on PBEsol structure

Properties
Energy relative to the lowest polymorph listed for this composition: 0.1244 eV per atom
DFT formation energy: 582 meV per atom
Spin magnetization: 19.22 Bohr magnetons per cell
E: -168.984 eV for the cell shown

a b c (Å): 8.7255 8.7255 8.7255
angles (deg): 90.00 90.00 90.00
With the nearest neighbours (Å) after each atom.
Space group Fm-3m (No. 225)
Symmetry-distinct sites (fractional):
K  0.2500  0.2500  0.2500  4 Mn 3.78, 4 Ca 3.78
Ca  0.0000  0.0000  0.0000  8 K 3.78
Mn  0.0000  0.0000  0.5000  8 K 3.78

---

Ba2AsAu | meta-GGA SCAN | single point on PBEsol structure

Properties
DFT formation energy: -1056 meV per atom
Spin magnetization: 0.00 Bohr magnetons per cell
E: -345.340 eV for the cell shown

a b c (Å): 4.7352 4.5012 12.0314
angles (deg): 90.00 90.00 90.00
With the nearest neighbours (Å) after each atom.
Space group Amm2 (No. 38)
Symmetry-distinct sites (fractional):
Ba  0.0000  0.0000  0.0000  4 Au 3.34, 3 As 3.39-3.47
Ba  0.5000  0.0000  0.2708  4 As 3.34, 3 Au 3.42-3.44
As  0.0000  0.0000  0.7112  2 Au 3.01, 4 Ba 3.34
Au  0.5000  0.0000  0.5571  2 As 3.01, 4 Ba 3.34

---

Cd2Pb3 | meta-GGA SCAN | single point on PBEsol structure

Properties
Energy relative to the lowest polymorph listed for this composition: 0.0010 eV per atom
DFT formation energy: 67 meV per atom
Spin magnetization: 0.00 Bohr magnetons per cell
E: -2302.713 eV for the cell shown

a b c (Å): 11.1031 16.2325 5.9288
angles (deg): 90.00 90.00 90.00
With the nearest neighbours (Å) after each atom.
Space group Fdd2 (No. 43)
Symmetry-distinct sites (fractional):
Cd  0.0002  0.2016  0.0000  8 Pb 3.15-3.36, 2 Cd 3.36
Pb  0.0000  0.0000  0.0005  6 Cd 3.24-3.27, 4 Pb 3.41
Pb  0.0003  0.1042  0.5005  5 Cd 3.15-3.36, 5 Pb 3.22-3.41

---

SrTa2Cr | meta-GGA SCAN | single point on PBEsol structure

Properties
Energy relative to the lowest polymorph listed for this composition: 0.0000 eV per atom
DFT formation energy: 853 meV per atom
Spin magnetization: 0.00 Bohr magnetons per cell
E: -511.244 eV for the cell shown

a b c (Å): 3.0916 3.0916 28.6181
angles (deg): 90.00 90.00 120.00
With the nearest neighbours (Å) after each atom.
Space group R-3m (No. 166, hexagonal axes)
Symmetry-distinct sites (fractional):
Sr  0.0000  0.0000  0.0000  6 Sr 3.09, 6 Ta 3.45
Ta  0.0000  0.0000  0.2302  3 Cr 2.55
Cr  0.0000  0.0000  0.5000  6 Ta 2.55

---

MnB2Pt | meta-GGA SCAN | single point on PBEsol structure

Properties
DFT formation energy: 138 meV per atom
Spin magnetization: 0.00 Bohr magnetons per cell
E: -411.020 eV for the cell shown

a b c (Å): 5.2634 5.2634 5.2634
angles (deg): 90.00 90.00 90.00
With the nearest neighbours (Å) after each atom.
Space group Fm-3m (No. 225)
Symmetry-distinct sites (fractional):
Mn  0.0000  0.0000  0.0000  8 B 2.28
B  0.2500  0.2500  0.2500  4 Pt 2.28, 4 Mn 2.28
Pt  0.0000  0.0000  0.5000  8 B 2.28

---

NaIn2 | meta-GGA SCAN | single point on PBEsol structure

Properties
DFT formation energy: -223 meV per atom
Spin magnetization: 0.00 Bohr magnetons per cell
E: -71.657 eV for the cell shown

a b c (Å): 5.0498 5.0498 3.4201
angles (deg): 90.00 90.00 120.00
With the nearest neighbours (Å) after each atom.
Space group P6/mmm (No. 191)
Symmetry-distinct sites (fractional):
Na  0.0000  0.0000  0.0000  12 In 3.38, 2 Na 3.42
In  0.3333  0.6667  0.5000  3 In 2.92

---

Fe2AgTe | meta-GGA SCAN | single point on PBEsol structure

Properties
Spin magnetization: 15.66 Bohr magnetons per cell
E: -307.425 eV for the cell shown
Formation energy (no corrections): 601 meV per atom

a b c (Å): 3.0294 3.0294 24.0999
angles (deg): 90.00 90.00 120.00
With the nearest neighbours (Å) after each atom.
Space group R-3m (No. 166, hexagonal axes)
Symmetry-distinct sites (fractional):
Fe  0.0000  0.0000  0.2482  3 Te 2.63, 3 Ag 2.70
Ag  0.0000  0.0000  0.0000  6 Fe 2.70
Te  0.0000  0.0000  0.5000  6 Fe 2.63